Below is a geometry-optimized EuEr structure, with properties calculated at the PBE level.

a b c (Å): 3.658 3.658 5.996
angles (deg): 90.00 90.00 120.00
Last column: magnetic moment on the atom in μB.
Atoms (fractional coordinates):
1 Er 0.333 0.667 0.500  0.21
2 Eu 0.000 0.000 0.000  6.95

Computed properties:
Total DFT energy (no corrections) in eV per atom: -7.312
Formation energy from the elements in eV/atom: 0.107
SG: No. 187

Below is a geometry-optimized K3Pm3UTe8 structure, with properties calculated at the PBE level.

a b c (Å): 9.072 9.071 9.887
angles (deg): 117.31 90.00 120.01
Last column: magnetic moment on the atom in μB.
Atoms (fractional coordinates):
1 Pm 0.500 0.000 0.500  0.01
2 Pm 0.500 0.500 0.500  0.01
3 Pm 0.000 0.500 0.500  0.01
4 Te 0.232 0.975 0.707  -0.04
5 Te 0.262 0.524 0.286  0.00
6 Te 0.743 0.975 0.707  -0.04
7 Te 0.232 0.464 0.707  -0.04
8 Te 0.257 0.025 0.293  -0.04
9 Te 0.768 0.025 0.293  -0.04
10 Te 0.738 0.476 0.714  0.00
11 Te 0.768 0.536 0.293  -0.04
12 K 0.000 0.500 0.000  0.00
13 K 0.000 0.000 0.000  0.00
14 K 0.500 0.500 0.000  0.00
15 U 0.000 0.000 0.500  2.19

Computed properties:
Total DFT energy (no corrections) in eV per atom: -4.847
SG: No. 166
Formation energy from raw total energies in eV per atom: -1.249

Below is a geometry-optimized Pr3Y4Tm structure, with properties calculated at the PBE level.

a b c (Å): 7.272 6.277 11.691
angles (deg): 90.00 90.00 90.00
Atoms (fractional coordinates):
1 Pr 0.189 0.501 0.751
2 Pr 0.189 0.501 0.249
3 Pr 0.689 0.499 0.749
4 Pr 0.689 0.499 0.251
5 Pr 0.690 0.834 0.000
6 Pr 0.190 0.166 0.500
7 Y 0.689 0.167 0.500
8 Y 0.439 0.999 0.749
9 Y 0.939 0.001 0.751
10 Y 0.939 0.001 0.249
11 Y 0.938 0.667 0.500
12 Y 0.438 0.333 0.000
13 Y 0.189 0.833 0.000
14 Y 0.439 0.999 0.251
15 Tm 0.941 0.334 0.000
16 Tm 0.441 0.666 0.500

Computed properties:
Total DFT energy (no corrections) in eV per atom: -5.581
Formation energy from the elements in eV/atom: 0.002
SG: No. 31

Below is a geometry-optimized YAs2Pb structure, with properties calculated at the PBE level.

a b c (Å): 6.493 6.493 8.087
angles (deg): 66.33 66.33 90.00
Atoms (fractional coordinates):
1 As 0.618 0.125 0.250
2 As 0.132 0.625 0.250
3 As 0.375 0.382 0.750
4 As 0.875 0.868 0.750
5 Y 0.250 0.750 0.500
6 Y 0.500 0.500 0.000
7 Pb 0.000 0.000 0.000
8 Pb 0.750 0.250 0.500

Computed properties:
Total DFT energy (no corrections) in eV per atom: -5.263
Formation energy from the elements in eV/atom: -0.395
SG: No. 122

| no. | mass density (Mg/m³) |
| --- | --- |
| 1 | 7.63 |
| 2 | 5.03 |
| 3 | 5.90 |
| 4 | 5.28 |